# 1
ZrSbTe2As: optimized geometry, PBEsol.

Unit cell a=5.4240 b=5.4240 c=5.5847 alpha=90.00 beta=90.00 gamma=90.00
Last column: magnetic moment on the atom in μB.
Atoms (fractional coordinates):
Sb1 0.0000 0.0000 0.5000  -0.09
As1 0.5000 0.5000 0.5000  0.71
Te1 0.0000 0.5000 0.0000  -0.02
Te2 0.5000 0.0000 0.0000  -0.02
Zr1 0.0000 0.0000 0.0000  0.11

E ... -4.728 eV per atom
Energy relative to the elements, uncorrected ... 434 meV/atom
Crystal system ... tetragonal

---

# 2
TiP2IrCl: optimized geometry, PBEsol.

Unit cell a=4.3053 b=4.6861 c=4.6861 alpha=90.00 beta=90.00 gamma=90.00
Last column: magnetic moment on the atom in μB.
Atoms (fractional coordinates):
Cl1 0.5000 0.0000 0.0000  0.02
Ir1 0.5000 0.5000 0.5000  0.59
P1 0.0000 0.0000 0.5000  -0.01
P2 0.0000 0.5000 0.0000  -0.01
Ti1 0.0000 0.0000 0.0000  0.10

E ... -5.555 eV per atom
Energy relative to the elements, uncorrected ... 792 meV/atom
Crystal system ... tetragonal

---

# 3
CoWAu2: optimized geometry, PBEsol.

Unit cell a=3.0093 b=4.3419 c=5.2499 alpha=114.43 beta=106.65 gamma=90.00
Last column: magnetic moment on the atom in μB.
Atoms (fractional coordinates):
Au1 0.7319 0.7319 0.4637  -0.01
Au2 0.2681 0.2681 0.5363  -0.01
Co1 0.0000 0.5000 0.0000  1.04
W1 0.5000 0.0000 0.0000  0.05

E ... -6.868 eV per atom
Distance to the lowest polymorph of the same formula ... 100.9 meV per atom
Energy of formation from the pure elements ... 46 kJ per mole of atoms
Crystal system ... orthorhombic

---

# 4
Cr2FeTc: optimized geometry, PBEsol.

Unit cell a=2.5182 b=2.5182 c=7.3734 alpha=90.00 beta=90.00 gamma=90.00
Last column: magnetic moment on the atom in μB.
Atoms (fractional coordinates):
Cr1 0.0000 0.0000 0.0128  0.00
Cr2 0.5000 0.5000 0.2656  -0.03
Fe1 0.0000 0.0000 0.4871  0.11
Tc1 0.5000 0.5000 0.7346  -0.01

E ... -9.980 eV per atom
Distance to the lowest polymorph of the same formula ... 80.9 meV per atom
Energy of formation from the pure elements ... 19 kJ per mole of atoms
Crystal system ... tetragonal

---

# 5
TaAlHg: optimized geometry, PBEsol.

Unit cell a=4.3631 b=4.3631 c=4.3631 alpha=60.00 beta=60.00 gamma=60.00
Atoms (fractional coordinates):
Al1 0.2500 0.2500 0.2500
Hg1 0.0000 0.0000 0.0000
Ta1 0.5000 0.5000 0.5000

E ... -5.063 eV per atom
Distance to the lowest polymorph of the same formula ... 0.0 meV per atom
Energy of formation from the pure elements ... 65 kJ per mole of atoms
Crystal system ... cubic

---

# 6
Si2MoAs: optimized geometry, PBEsol.

Unit cell a=5.8159 b=5.8159 c=6.4782 alpha=116.67 beta=116.67 gamma=90.00
Last column: magnetic moment on the atom in μB.
Atoms (fractional coordinates):
Mo1 0.2500 0.7500 0.5000  0.39
Mo2 0.0000 0.0000 0.0000  0.39
Si1 0.3753 0.8750 0.2500  -0.01
Si2 0.8747 0.3750 0.2500  -0.01
Si3 0.1250 0.1253 0.7500  -0.01
Si4 0.6250 0.6247 0.7500  -0.01
As1 0.7500 0.2500 0.5000  0.02
As2 0.5000 0.5000 0.0000  0.02

E ... -6.411 eV per atom
Energy relative to the elements, uncorrected ... 681 meV/atom
Crystal system ... tetragonal

---

# 7
RhPb2: optimized geometry, PBEsol.

Unit cell a=6.6145 b=6.6145 c=6.6145 alpha=90.00 beta=90.00 gamma=90.00
Atoms (fractional coordinates):
Pb1 0.1550 0.6550 0.8450
Pb2 0.8450 0.3450 0.1550
Pb3 0.6550 0.8450 0.1550
Pb4 0.3450 0.1550 0.8450
Pb5 0.8450 0.1550 0.6550
Pb6 0.1550 0.8450 0.3450
Pb7 0.3450 0.3450 0.3450
Pb8 0.6550 0.6550 0.6550
Rh1 0.5000 0.0000 0.5000
Rh2 0.0000 0.5000 0.5000
Rh3 0.0000 0.0000 0.0000
Rh4 0.5000 0.5000 0.0000

E ... -5.319 eV per atom
Energy of formation from the pure elements ... 6 kJ per mole of atoms
Crystal system ... cubic

---

# 8
RbCdSe2: optimized geometry, PBEsol.

Unit cell a=6.8029 b=6.8029 c=6.8029 alpha=108.30 beta=108.30 gamma=111.84
Atoms (fractional coordinates):
Se1 0.9530 0.8750 0.5780
Se2 0.2970 0.3750 0.4220
Se3 0.6250 0.0470 0.9220
Se4 0.1250 0.7030 0.0780
Rb1 0.7500 0.2500 0.5000
Rb2 0.5000 0.5000 0.0000
Cd1 0.2500 0.7500 0.5000
Cd2 0.0000 0.0000 0.0000

E ... -3.043 eV per atom
Energy relative to the elements, uncorrected ... -563 meV/atom
Crystal system ... tetragonal

---

# 9
MgTaNi2H: optimized geometry, PBEsol.

Unit cell a=3.0399 b=4.5877 c=4.5877 alpha=90.00 beta=90.00 gamma=90.00
Atoms (fractional coordinates):
Ni1 0.0000 0.0000 0.5000
Ni2 0.0000 0.5000 0.0000
Mg1 0.0000 0.0000 0.0000
H1 0.5000 0.0000 0.0000
Ta1 0.5000 0.5000 0.5000

E ... -5.174 eV per atom
Crystal system ... tetragonal

---

# 10
SrAlHg2: optimized geometry, PBEsol.

Unit cell a=4.5069 b=4.5069 c=6.5517 alpha=69.88 beta=69.88 gamma=60.00
Atoms (fractional coordinates):
Sr1 0.5076 0.5076 0.4771
Hg1 0.9549 0.9549 0.1352
Hg2 0.7272 0.7272 0.8185
Al1 0.3181 0.3181 0.0457

E ... -2.098 eV per atom
Energy of formation from the pure elements ... -32 kJ per mole of atoms
Crystal system ... trigonal

---

# 11
NaNbTe2O: optimized geometry, PBEsol.

Unit cell a=4.0565 b=4.8778 c=4.8778 alpha=90.00 beta=90.00 gamma=90.00
Last column: magnetic moment on the atom in μB.
Atoms (fractional coordinates):
Na1 0.5000 0.0000 0.0000  0.01
Nb1 0.5000 0.5000 0.5000  1.92
Te1 0.0000 0.0000 0.5000  -0.05
Te2 0.0000 0.5000 0.0000  -0.05
O1 0.0000 0.0000 0.0000  0.02

E ... -4.994 eV per atom
Energy relative to the elements, uncorrected ... -89 meV/atom
Crystal system ... tetragonal

---

# 12
CsTeO2: optimized geometry, PBEsol.

Unit cell a=3.7076 b=3.7076 c=7.5318 alpha=75.75 beta=75.75 gamma=60.00
Atoms (fractional coordinates):
Cs1 0.0000 0.0000 0.0000
Te1 0.5000 0.5000 0.5000
O1 0.8753 0.8753 0.3741
O2 0.1247 0.1247 0.6259

E ... -4.423 eV per atom
Energy relative to the elements, uncorrected ... -681 meV/atom
Crystal system ... trigonal

---

# 13
Sm2SCl4: optimized geometry, PBEsol.

Unit cell a=6.3438 b=6.9844 c=8.1148 alpha=97.26 beta=113.01 gamma=90.00
Atoms (fractional coordinates):
Sm1 0.1017 0.4216 0.7864
Sm2 0.3154 0.0784 0.2136
Sm3 0.8983 0.5784 0.2136
Sm4 0.6846 0.9216 0.7864
S1 0.0693 0.7500 0.0000
S2 0.9307 0.2500 0.0000
Cl1 0.5234 0.5727 0.8263
Cl2 0.6971 0.9273 0.1737
Cl3 0.4766 0.4273 0.1737
Cl4 0.3029 0.0727 0.8263
Cl5 0.8587 0.6796 0.5574
Cl6 0.3013 0.8204 0.4426
Cl7 0.1413 0.3204 0.4426
Cl8 0.6987 0.1796 0.5574

E ... -5.480 eV per atom
Energy relative to the elements, uncorrected ... -2251 meV/atom
Crystal system ... monoclinic

---

# 14
BaSbTe4: optimized geometry, PBEsol.

Unit cell a=6.3889 b=6.3889 c=6.3889 alpha=60.00 beta=60.00 gamma=60.00
Atoms (fractional coordinates):
Ba1 0.7500 0.7500 0.7500
Sb1 0.0000 0.0000 0.0000
Te1 0.3744 0.3744 0.3744
Te2 0.3744 0.3744 0.8768
Te3 0.8768 0.3744 0.3744
Te4 0.3744 0.8768 0.3744

E ... -3.659 eV per atom
Energy relative to the elements, uncorrected ... -190 meV/atom
Crystal system ... cubic

---

# 15
K2LiTa: optimized geometry, PBEsol.

Unit cell a=3.1049 b=3.1049 c=11.9470 alpha=90.00 beta=90.00 gamma=90.00
Atoms (fractional coordinates):
K1 0.0000 0.0000 0.9506
K2 0.5000 0.5000 0.2986
Li1 0.0000 0.0000 0.5469
Ta1 0.5000 0.5000 0.7039

E ... -3.238 eV per atom
Distance to the lowest polymorph of the same formula ... 0.0 meV per atom
Energy of formation from the pure elements ... 92 kJ per mole of atoms
Crystal system ... tetragonal

---

# 16
NdInAu: optimized geometry, PBEsol.

Unit cell a=4.0939 b=7.7203 c=7.7203 alpha=120.00 beta=90.00 gamma=90.00
Atoms (fractional coordinates):
Nd1 0.5000 0.0000 0.5907
Nd2 0.5000 0.4093 0.4093
Nd3 0.5000 0.5907 0.0000
In1 0.0000 0.0000 0.2541
In2 0.0000 0.7459 0.7459
In3 0.0000 0.2541 0.0000
Au1 0.5000 0.0000 0.0000
Au2 0.0000 0.3333 0.6667
Au3 0.0000 0.6667 0.3333

E ... -4.795 eV per atom
Energy of formation from the pure elements ... -74 kJ per mole of atoms
Crystal system ... hexagonal

---

# 17
Y2Pd2Pt: optimized geometry, PBEsol.

Unit cell a=5.2327 b=5.3856 c=5.2327 alpha=119.06 beta=90.00 gamma=119.06
Atoms (fractional coordinates):
Y1 0.2500 0.5000 0.7500
Y2 0.7500 0.5000 0.2500
Pd1 0.3422 0.6844 0.3422
Pd2 0.6578 0.3156 0.6578
Pt1 0.0000 0.0000 0.0000

E ... -7.139 eV per atom
Energy of formation from the pure elements ... -61 kJ per mole of atoms
Crystal system ... tetragonal

---

# 18
ZrZnW2Se: optimized geometry, PBEsol.

Unit cell a=4.8527 b=4.8527 c=4.9269 alpha=90.00 beta=90.00 gamma=90.00
Last column: magnetic moment on the atom in μB.
Atoms (fractional coordinates):
Zn1 0.5000 0.5000 0.5000  -0.01
Se1 0.0000 0.0000 0.5000  0.01
Zr1 0.0000 0.0000 0.0000  0.00
W1 0.0000 0.5000 0.0000  0.72
W2 0.5000 0.0000 0.0000  0.72

E ... -6.296 eV per atom
Energy relative to the elements, uncorrected ... 2132 meV/atom
Crystal system ... tetragonal

---

# 19
KScSF2: optimized geometry, PBEsol.

Unit cell a=4.2053 b=4.2053 c=6.2742 alpha=90.00 beta=90.00 gamma=90.00
Last column: magnetic moment on the atom in μB.
Atoms (fractional coordinates):
Sc1 0.0000 0.0000 0.5000  0.27
K1 0.0000 0.0000 0.0000  0.05
S1 0.5000 0.5000 0.5000  -0.03
F1 0.0000 0.5000 0.0000  0.16
F2 0.5000 0.0000 0.0000  0.16

E ... -4.144 eV per atom
Energy relative to the elements, uncorrected ... -949 meV/atom
Crystal system ... tetragonal

---

# 20
OsBr3O: optimized geometry, PBEsol.

Unit cell a=4.9403 b=4.9403 c=4.9403 alpha=90.00 beta=90.00 gamma=90.00
Last column: magnetic moment on the atom in μB.
Atoms (fractional coordinates):
Os1 0.0000 0.0000 0.0000  -1.14
O1 0.5000 0.5000 0.5000  1.32
Br1 0.0000 0.5000 0.0000  -0.06
Br2 0.0000 0.0000 0.5000  -0.06
Br3 0.5000 0.0000 0.0000  -0.06

E ... -3.657 eV per atom
Energy relative to the elements, uncorrected ... 958 meV/atom
Crystal system ... cubic